# PBEsol NaPdNO2, optimized geometry
# Calculated volume, Å³/cell: 60.9
# Raw total energy, Ry/atom: -0.3727
data_NaPdNO2
_chemical_formula_sum 'Na1 Pd1 N1 O2'
_space_group_name_H-M_alt 'P 4/m m m'
_space_group_IT_number 123
_space_group_name_Hall '-P 4 2'
_cell_length_a 4.0846
_cell_length_b 4.0846
_cell_length_c 3.6509
_cell_angle_alpha 90.00
_cell_angle_beta 90.00
_cell_angle_gamma 90.00
loop_
_atom_site_label
_atom_site_fract_x
_atom_site_fract_y
_atom_site_fract_z
_atom_site_occupancy
Na1 0.0000 0.0000 0.0000 1
Pd1 0.5000 0.5000 0.5000 1
N1 0.5000 0.5000 0.0000 1
O1 0.0000 0.5000 0.5000 1